[1]
Entry from OQMD via LeMat-Bulk: a relaxed Dy2YNi2B2N3 crystal (GGA-PBE).

Unit cell a=3.4710 b=3.4710 c=20.0552 alpha=90.00 beta=90.00 gamma=90.00
Space group I4/mmm (No. 139)
Inequivalent atoms, fractional coordinates:
Dy: 0.0000 0.0000 0.1233 (multiplicity 4)
Y: 0.0000 0.0000 0.5000 (multiplicity 2)
Ni: 0.0000 0.5000 0.2500 (multiplicity 4)
B: 0.0000 0.0000 0.3106 (multiplicity 4)
N: 0.0000 0.0000 0.0000 (multiplicity 2)
N: 0.0000 0.0000 0.3831 (multiplicity 4)

Summary:
For the uncorrected energy, the calculation gives -7.7345 eV per atom.

---

[2]
Entry from OQMD via LeMat-Bulk: a relaxed DyY2Ni2B2N3 crystal (GGA-PBE).

Unit cell a=3.4777 b=3.4777 c=20.0835 alpha=90.00 beta=90.00 gamma=90.00
Space group I4/mmm (No. 139)
Inequivalent atoms, fractional coordinates:
Dy: 0.0000 0.0000 0.0000 (multiplicity 2)
Y: 0.0000 0.0000 0.3768 (multiplicity 4)
Ni: 0.0000 0.5000 0.2500 (multiplicity 4)
B: 0.0000 0.0000 0.1895 (multiplicity 4)
N: 0.0000 0.0000 0.1168 (multiplicity 4)
N: 0.0000 0.0000 0.5000 (multiplicity 2)

Summary:
For the uncorrected energy, the calculation gives -7.9167 eV per atom.

---

[3]
Entry from OQMD via LeMat-Bulk: a relaxed DyBNO crystal (GGA-PBE).

Unit cell a=3.5960 b=3.5960 c=6.9733 alpha=90.00 beta=90.00 gamma=90.00
Space group P4/nmm (No. 129, origin choice 2)
Inequivalent atoms, fractional coordinates:
Dy: 0.2500 0.2500 0.1738 (multiplicity 2)
B: 0.2500 0.7500 0.5000 (multiplicity 2)
N: 0.2500 0.2500 0.5190 (multiplicity 2)
O: 0.2500 0.7500 0.0000 (multiplicity 2)

Summary:
For the energy above the most stable polymorph in this dataset, the calculation gives 613 meV per atom.

---

[4]
Entry from OQMD via LeMat-Bulk: a relaxed DyBNO crystal (GGA-PBE).

Unit cell a=3.4693 b=5.1725 c=4.8194 alpha=90.00 beta=90.00 gamma=90.00
Space group Pmc2_1 (No. 26)
Inequivalent atoms, fractional coordinates:
Dy: 0.0000 0.2365 0.0000 (multiplicity 2)
B: 0.5000 0.3449 0.4773 (multiplicity 2)
N: 0.5000 0.4635 0.7525 (multiplicity 2)
O: 0.0000 0.1909 0.4760 (multiplicity 2)

Summary:
For the energy above the most stable polymorph in this dataset, the calculation gives 261 meV per atom.